YMo3 | PBE | relaxed

a = 2.856 Å, b = 5.466 Å, c = 5.466 Å
α = 117.03°, β = 79.97°, γ = 79.97°
Positions (direct):
Mo: 0.500 0.500 0.000
Mo: 0.500 0.000 0.500
Mo: 0.000 0.000 0.000
Y: 0.000 0.500 0.500

distance to the lowest polymorph of the same formula: 0.168 eV per atom
spin magnetization: 0.0 μB per cell
energy of formation from the pure elements: 423 meV per atom